Record 1
First-principles (PBE) data for a relaxed structure of La2NdSi3Pt12, as listed in Alexandria via LeMat-Bulk.

Calculated values
**Energy relative to the elements, uncorrected**: -54 kJ/mol of atoms
**Crystal system**: trigonal

Cell: 7.799 7.799 7.799 Å, 64.87 64.87 64.87°
Positions (direct):
La: 0.599 0.599 0.599
La: 0.401 0.401 0.401
Nd: 0.000 0.000 0.000
Si: 0.500 0.000 0.000
Si: 0.000 0.500 0.000
Si: 0.000 0.000 0.500
Pt: 0.347 0.347 0.901
Pt: 0.852 0.852 0.410
Pt: 0.410 0.852 0.852
Pt: 0.901 0.347 0.347
Pt: 0.852 0.410 0.852
Pt: 0.347 0.901 0.347
Pt: 0.653 0.653 0.099
Pt: 0.148 0.148 0.590
Pt: 0.590 0.148 0.148
Pt: 0.099 0.653 0.653
Pt: 0.148 0.590 0.148
Pt: 0.653 0.099 0.653



Record 2
First-principles (PBE) data for a relaxed structure of La2NdSn3Pt4, as listed in Alexandria via LeMat-Bulk.

Calculated values
**Crystal system**: tetragonal
**E**: -6.000 eV per atom

Cell: 4.668 4.668 11.221 Å, 90.00 90.00 90.00°
Positions (direct):
La: 0.500 0.000 0.218
La: 0.000 0.500 0.782
Nd: 0.500 0.500 0.500
Sn: 0.000 0.000 0.500
Sn: 0.500 0.000 0.879
Sn: 0.000 0.500 0.121
Pt: 0.500 0.500 0.000
Pt: 0.000 0.000 0.000
Pt: 0.500 0.000 0.647
Pt: 0.000 0.500 0.353



Record 3
First-principles (PBE) data for a relaxed structure of LaNdTePt, as listed in Alexandria via LeMat-Bulk.

Calculated values
**Energy relative to the elements, uncorrected**: -125 kJ/mol of atoms
**Crystal system**: trigonal

Cell: 4.306 4.306 8.084 Å, 90.00 105.44 119.99°
Positions (direct):
La: 0.109 0.953 0.077
Nd: 0.495 0.146 0.656
Te: 0.972 0.384 0.371
Pt: 0.301 0.549 0.865



Record 4
First-principles (PBE) data for a relaxed structure of LaNdTh2Pt4, as listed in Alexandria via LeMat-Bulk.

Calculated values
**Crystal system**: tetragonal
**E**: -7.251 eV per atom

Cell: 5.938 5.938 7.309 Å, 113.97 113.97 90.00°
Positions (direct):
La: 0.937 0.937 0.000
Nd: 0.437 0.437 0.000
Th: 0.187 0.687 0.500
Th: 0.687 0.187 0.500
Pt: 0.937 0.437 0.000
Pt: 0.437 0.937 0.000
Pt: 0.188 0.188 0.502
Pt: 0.686 0.686 0.498



Record 5
First-principles (PBE) data for a relaxed structure of LaNdTlPt, as listed in Alexandria via LeMat-Bulk.

Calculated values
**Crystal system**: cubic
**E**: -5.135 eV per atom

Cell: 5.368 5.368 5.368 Å, 60.00 60.00 60.00°
Positions (direct):
Tl: 0.250 0.250 0.250
Nd: 0.000 0.000 0.000
Pt: 0.750 0.750 0.750
La: 0.500 0.500 0.500



Record 6
First-principles (PBE) data for a relaxed structure of LaNdZnPt, as listed in Alexandria via LeMat-Bulk.

Calculated values
**Crystal system**: cubic
**ΔE to the lowest computed polymorph**: 27 kJ/mol of formula units

Cell: 5.200 5.200 5.200 Å, 60.00 60.00 60.00°
Positions (direct):
Zn: 0.750 0.750 0.750
Nd: 0.000 0.000 0.000
Pt: 0.250 0.250 0.250
La: 0.500 0.500 0.500



Record 7
First-principles (PBE) data for a relaxed structure of LaNdZnPt, as listed in Alexandria via LeMat-Bulk.

Calculated values
**Crystal system**: orthorhombic
**ΔE to the lowest computed polymorph**: 0 kJ/mol of formula units

Cell: 3.999 4.528 6.026 Å, 90.00 109.38 90.00°
Positions (direct):
La: 0.861 0.500 0.721
Nd: 0.137 0.000 0.273
Zn: 0.575 0.500 0.150
Pt: 0.428 0.000 0.856



Record 8
First-principles (PBE) data for a relaxed structure of LaNd2Pu, as listed in Alexandria via LeMat-Bulk.

Calculated values
**Crystal system**: trigonal
**ΔE to the lowest computed polymorph**: 59 kJ/mol of formula units

Cell: 3.543 3.543 12.774 Å, 82.03 82.03 60.00°
Each line ends with the local moment (μB).
Positions (direct):
La: 0.500 0.500 0.500  -0.01
Nd: 0.087 0.087 0.740  0.04
Nd: 0.913 0.913 0.260  0.04
Pu: 0.000 0.000 0.000  5.78



Record 9
First-principles (PBE) data for a relaxed structure of La3Nd8Pu, as listed in Alexandria via LeMat-Bulk.

Calculated values
**Crystal system**: tetragonal
**E**: -5.121 eV per atom

Cell: 8.561 8.561 8.561 Å, 94.80 117.27 117.27°
Each line ends with the local moment (μB).
Positions (direct):
La: 0.500 0.750 0.250  -0.16
La: 0.500 0.250 0.750  -0.16
La: 0.000 0.500 0.500  -0.06
Nd: 0.468 0.209 0.209  0.08
Nd: 0.532 0.741 0.741  0.08
Nd: 0.000 0.791 0.259  0.08
Nd: 0.000 0.259 0.791  0.08
Nd: 0.245 0.359 0.359  -0.03
Nd: 0.755 0.113 0.113  -0.03
Nd: 0.000 0.641 0.887  -0.03
Nd: 0.000 0.887 0.641  -0.03
Pu: 0.000 0.000 0.000  5.56



Record 10
First-principles (PBE) data for a relaxed structure of La7Nd12Pu, as listed in Alexandria via LeMat-Bulk.

Calculated values
**Crystal system**: cubic
**E**: -4.713 eV per atom

Cell: 10.020 10.020 10.020 Å, 109.47 109.47 109.47°
Each line ends with the local moment (μB).
Positions (direct):
La: 0.500 0.500 0.000  -0.04
La: 0.000 0.500 0.500  -0.04
La: 0.500 0.000 0.500  -0.04
La: 0.500 0.500 0.500  0.02
La: 0.000 0.000 0.500  0.02
La: 0.500 0.000 0.000  0.02
La: 0.000 0.500 0.000  0.02
Nd: 0.513 0.731 0.781  0.03
Nd: 0.950 0.731 0.219  0.03
Nd: 0.487 0.269 0.219  0.03
Nd: 0.050 0.269 0.781  0.03
Nd: 0.781 0.050 0.269  0.03
Nd: 0.781 0.513 0.731  0.03
Nd: 0.219 0.950 0.731  0.03
Nd: 0.219 0.487 0.269  0.03
Nd: 0.731 0.781 0.513  0.03
Nd: 0.269 0.219 0.487  0.03
Nd: 0.731 0.219 0.950  0.03
Nd: 0.269 0.781 0.050  0.03
Pu: 0.000 0.000 0.000  5.73



Record 11
First-principles (PBE) data for a relaxed structure of LaNd2Pu, as listed in Alexandria via LeMat-Bulk.

Calculated values
**Crystal system**: tetragonal
**ΔE to the lowest computed polymorph**: 11 kJ/mol of formula units

Cell: 5.190 5.072 5.072 Å, 90.00 90.00 90.00°
Each line ends with the local moment (μB).
Positions (direct):
La: 0.500 0.000 0.000  0.11
Nd: 0.000 0.000 0.500  0.07
Nd: 0.000 0.500 0.000  0.07
Pu: 0.500 0.500 0.500  5.56



Record 12
First-principles (PBE) data for a relaxed structure of La4Nd3Pu, as listed in Alexandria via LeMat-Bulk.

Calculated values
**Crystal system**: orthorhombic
**E**: -5.912 eV per atom

Cell: 3.570 11.808 9.054 Å, 130.64 101.37 90.00°
Each line ends with the local moment (μB).
Positions (direct):
Pu: 0.500 0.000 0.000  -5.68
Nd: 0.000 0.500 0.000  0.02
Nd: 0.771 0.771 0.542  -0.06
Nd: 0.229 0.229 0.458  -0.06
La: 0.629 0.376 0.258  -0.04
La: 0.371 0.624 0.742  -0.04
La: 0.371 0.118 0.742  -0.04
La: 0.629 0.882 0.258  -0.04



Number 1: Fermi-level density of states 8.9 states/eV/cell. Number 2: Fermi-level density of states 7.2 states/eV/cell. Number 3: Fermi-level density of states 1.2 states/eV/cell. Number 4: Fermi-level density of states 3.0 states/eV/cell. Number 5: Fermi-level density of states 4.1 states/eV/cell. Number 6: Fermi-level density of states 3.2 states/eV/cell. Number 7: Fermi-level density of states 3.4 states/eV/cell. Number 8: Fermi-level density of states 12.8 states/eV/cell. Number 9: Fermi-level density of states 19.4 states/eV/cell. Number 10: Fermi-level density of states 42.0 states/eV/cell. Number 11: Fermi-level density of states 16.1 states/eV/cell. Number 12: Fermi-level density of states 17.7 states/eV/cell.